Entry from Alexandria via LeMat-Bulk: a relaxed structure of Sm3Al2Pt3 (PBE-GGA).

```
data_Sm3Al2Pt3
_chemical_formula_sum 'Sm6 Al4 Pt6'
_cell_length_a 8.3480
_cell_length_b 8.3480
_cell_length_c 5.6945
_cell_angle_alpha 90.00
_cell_angle_beta 90.00
_cell_angle_gamma 120.00
_space_group_name_H-M_alt 'P 63/m c m'
_space_group_IT_number 193
_space_group_name_Hall '-P 6c 2'
loop_
_atom_site_label
_atom_site_type_symbol
_atom_site_fract_x
_atom_site_fract_y
_atom_site_fract_z
_atom_site_occupancy
Sm1 Sm 0.0000 0.2688 0.2500 1
Al1 Al 0.3333 0.6667 0.0000 1
Pt1 Pt 0.0000 0.3982 0.7500 1
```

Output
- Magnetization: 0.0 μB per cell
- Energy of formation: -0.968 eV/atom

Entry from Alexandria via LeMat-Bulk: a relaxed structure of SmAlPt4 (PBE-GGA).

```
data_SmAlPt4
_chemical_formula_sum 'Sm4 Al4 Pt16'
_cell_length_a 7.6083
_cell_length_b 7.6083
_cell_length_c 7.6083
_cell_angle_alpha 90.00
_cell_angle_beta 90.00
_cell_angle_gamma 90.00
_space_group_name_H-M_alt 'F -4 3 m'
_space_group_IT_number 216
_space_group_name_Hall 'F -4 2 3'
loop_
_atom_site_label
_atom_site_type_symbol
_atom_site_fract_x
_atom_site_fract_y
_atom_site_fract_z
_atom_site_occupancy
Sm1 Sm 0.0000 0.0000 0.0000 1
Al1 Al 0.2500 0.2500 0.7500 1
Pt1 Pt 0.1243 0.1243 0.3757 1
```

Output
- Magnetization: 0.0 μB per cell
- Distance to the lowest polymorph of the same formula: 165 meV per atom
- Energy of formation: -0.785 eV/atom

Entry from Alexandria via LeMat-Bulk: a relaxed structure of SmAlPt4 (PBE-GGA).

```
data_SmAlPt4
_chemical_formula_sum 'Sm4 Al4 Pt16'
_cell_length_a 3.9867
_cell_length_b 15.9162
_cell_length_c 6.7009
_cell_angle_alpha 90.00
_cell_angle_beta 90.00
_cell_angle_gamma 90.00
_space_group_name_H-M_alt 'C m c m'
_space_group_IT_number 63
_space_group_name_Hall '-C 2c 2'
loop_
_atom_site_label
_atom_site_type_symbol
_atom_site_fract_x
_atom_site_fract_y
_atom_site_fract_z
_atom_site_occupancy
Sm1 Sm 0.0000 0.1022 0.2500 1
Al1 Al 0.0000 0.2322 0.7500 1
Pt1 Pt 0.0000 0.0778 0.7500 1
Pt2 Pt 0.0000 0.3212 0.0442 1
Pt3 Pt 0.0000 0.5000 0.0000 1
```

Output
- Magnetization: 0.0 μB per cell
- Distance to the lowest polymorph of the same formula: 0 meV per atom
- Energy of formation: -0.950 eV/atom

Entry from Alexandria via LeMat-Bulk: a relaxed structure of Sm2AlPt2 (PBE-GGA).

```
data_Sm2AlPt2
_chemical_formula_sum 'Sm8 Al4 Pt8'
_cell_length_a 7.2837
_cell_length_b 11.1835
_cell_length_c 5.8491
_cell_angle_alpha 90.00
_cell_angle_beta 90.00
_cell_angle_gamma 90.00
_space_group_name_H-M_alt 'I b a m'
_space_group_IT_number 72
_space_group_name_Hall '-I 2 2c'
loop_
_atom_site_label
_atom_site_type_symbol
_atom_site_fract_x
_atom_site_fract_y
_atom_site_fract_z
_atom_site_occupancy
Sm1 Sm 0.1570 0.1513 0.0000 1
Al1 Al 0.0000 0.5000 0.2500 1
Pt1 Pt 0.2471 0.3988 0.0000 1
```

Output
- Magnetization: 0.0 μB per cell
- Energy of formation: -1.010 eV/atom

Entry from Alexandria via LeMat-Bulk: a relaxed structure of Sm2Al3SnPt4 (PBE-GGA).

```
data_Sm2Al3SnPt4
_chemical_formula_sum 'Sm2 Al3 Sn1 Pt4'
_cell_length_a 4.3363
_cell_length_b 4.3363
_cell_length_c 10.5148
_cell_angle_alpha 90.00
_cell_angle_beta 90.00
_cell_angle_gamma 90.00
_space_group_name_H-M_alt 'P -4 m 2'
_space_group_IT_number 115
loop_
_space_group_symop_operation_xyz
'x,y,z'
'y,-x,-z'
'-x,-y,z'
'-y,x,-z'
'-x,y,z'
'-y,-x,-z'
'x,-y,z'
'y,x,-z'
loop_
_atom_site_label
_atom_site_type_symbol
_atom_site_fract_x
_atom_site_fract_y
_atom_site_fract_z
_atom_site_occupancy
Sm1 Sm 0.0000 0.5000 0.2439 1
Al1 Al 0.0000 0.5000 0.8781 1
Al2 Al 0.5000 0.5000 0.5000 1
Sn1 Sn 0.0000 0.0000 0.5000 1
Pt1 Pt 0.0000 0.0000 0.0000 1
Pt2 Pt 0.0000 0.5000 0.6456 1
Pt3 Pt 0.5000 0.5000 0.0000 1
```

Output
- Magnetization: 0.0 μB per cell
- Energy of formation: -1.055 eV/atom

Entry from Alexandria via LeMat-Bulk: a relaxed structure of Sm2Al2SnPt5 (PBE-GGA).

```
data_Sm2Al2SnPt5
_chemical_formula_sum 'Sm4 Al4 Sn2 Pt10'
_cell_length_a 10.0884
_cell_length_b 10.0884
_cell_length_c 3.7176
_cell_angle_alpha 90.00
_cell_angle_beta 90.00
_cell_angle_gamma 90.00
_space_group_name_H-M_alt 'P 4/m b m'
_space_group_IT_number 127
_space_group_name_Hall '-P 4 2ab'
loop_
_atom_site_label
_atom_site_type_symbol
_atom_site_fract_x
_atom_site_fract_y
_atom_site_fract_z
_atom_site_occupancy
Sm1 Sm 0.1809 0.3191 0.0000 1
Al1 Al 0.1171 0.6171 0.0000 1
Sn1 Sn 0.0000 0.0000 0.0000 1
Pt1 Pt 0.0000 0.5000 0.5000 1
Pt2 Pt 0.0595 0.7853 0.5000 1
```

Output
- Magnetization: 0.0 μB per cell
- Energy of formation: -0.918 eV/atom